SnBi2F: optimized geometry, PBEsol.

Lattice parameters (Å, degrees): 5.4086 5.4086 8.7758 107.95 107.95 90.00
Fractional coordinates of all 8 atoms:
1 F 0.7500 0.2500 0.5000
2 F 0.5000 0.5000 0.0000
3 Bi 0.4694 0.8750 0.2500
4 Bi 0.7806 0.3750 0.2500
5 Bi 0.1250 0.2194 0.7500
6 Bi 0.6250 0.5306 0.7500
7 Sn 0.2500 0.7500 0.5000
8 Sn 0.0000 0.0000 0.0000

Calculated volume ... 116 Å³/f.u.
DFT total energy ... -16.66 eV per formula unit
Space-group type ... I-42d, No. 122
Formation energy from raw total energies ... -0.476 eV/atom